Na2HfOs: relaxed, GGA-PBEsol. Values from VASP.

Computed properties:
- DFT formation energy (eV per atom) = 1.34

```
&SYSTEM
  ibrav = 0, nat = 4, ntyp = 3
/
ATOMIC_SPECIES
Na 22.99 Na.upf
Hf 178.49 Hf.upf
Os 190.23 Os.upf
ATOMIC_POSITIONS crystal
Na 0.2500 0.2500 0.2500
Na 0.7500 0.7500 0.7500
Hf 0.0000 0.0000 0.0000
Os 0.5000 0.5000 0.5000
CELL_PARAMETERS angstrom
0.0000 3.3042 3.3042
3.3042 0.0000 3.3042
3.3042 3.3042 0.0000
```